Entry 1:
DFT (PBE) results for a relaxed structure of SrAcEr.

abc: 3.8703 6.0397 11.4770
angles: 90.01 109.50 89.99
Last column: nearest neighbours and their distance in Å.
Fractional positions:
Ac1 0.5270 0.2498 0.7702  4 Er 3.58-3.62, 2 Ac 3.87, 4 Sr 3.96-3.98
Ac2 0.4730 0.7502 0.2298  4 Er 3.58-3.62, 2 Ac 3.87, 4 Sr 3.96-3.98
Er1 0.6948 0.7498 0.9473  4 Ac 3.58-3.62, 6 Er 3.75-3.87
Er2 0.3052 0.2502 0.0527  4 Ac 3.58-3.62, 6 Er 3.75-3.87
Sr1 0.8671 0.7497 0.6125  4 Sr 3.87-4.32, 5 Ac 3.96-4.14, 2 Er 4.10-4.11
Sr2 0.1329 0.2503 0.3875  4 Sr 3.87-4.32, 5 Ac 3.96-4.14, 2 Er 4.10-4.11

Excess energy over the best structure of this formula in the dataset = 2 kJ/mol of formula units
Magnetic moment = 0.01 μB per cell

Entry 2:
DFT (PBE) results for a relaxed structure of SrAc2Er.

abc: 3.9143 3.9143 13.0226
angles: 81.36 81.36 60.00
Last column: nearest neighbours and their distance in Å.
Fractional positions:
Ac1 0.2576 0.2576 0.2273  3 Er 3.69, 6 Ac 3.91
Ac2 0.0761 0.0761 0.7717  3 Er 3.70, 6 Ac 3.91, 3 Sr 4.14
Er1 0.6668 0.6668 0.9997  6 Ac 3.69-3.70, 6 Er 3.91
Sr1 0.4996 0.4996 0.5013  6 Sr 3.91, 6 Ac 4.14-4.18

Excess energy over the best structure of this formula in the dataset = 4 kJ/mol of formula units
Magnetic moment = 0.00 μB per cell

Entry 3:
DFT (PBE) results for a relaxed structure of Sr3Ac2ErTe6.

abc: 8.0374 8.0374 8.1399
angles: 99.53 99.53 119.93
Last column: nearest neighbours and their distance in Å.
Fractional positions:
Te1 0.2317 0.2317 0.7527  1 Er 3.16, 3 Sr 3.31-3.44, 2 Ac 3.33
Te2 0.3961 0.0802 0.2428  1 Er 3.15, 3 Sr 3.28-3.38, 2 Ac 3.33-3.34
Te3 0.7683 0.7683 0.2473  1 Er 3.16, 3 Sr 3.31-3.44, 2 Ac 3.33
Te4 0.6039 0.9198 0.7572  1 Er 3.15, 3 Sr 3.28-3.38, 2 Ac 3.33-3.34
Te5 0.0802 0.3961 0.2428  1 Er 3.15, 3 Sr 3.28-3.38, 2 Ac 3.33-3.34
Te6 0.9198 0.6039 0.7572  1 Er 3.15, 3 Sr 3.28-3.38, 2 Ac 3.33-3.34
Er1 0.0000 0.0000 0.0000  6 Te 3.15-3.16
Ac1 0.6652 0.3348 0.0000  6 Te 3.33-3.34
Ac2 0.3348 0.6652 0.0000  6 Te 3.33-3.34
Sr1 0.5000 0.5000 0.5000  6 Te 3.28-3.44
Sr2 0.8271 0.1729 0.5000  6 Te 3.28-3.38
Sr3 0.1729 0.8271 0.5000  6 Te 3.28-3.38

Formation energy (no corrections) = -18.43 eV/f.u.
Magnetic moment = 0.00 μB per cell

Entry 4:
DFT (PBE) results for a relaxed structure of SrAc2ErTe5.

abc: 5.5021 5.5021 12.0111
angles: 90.00 90.00 90.00
Last column: nearest neighbours and their distance in Å.
Fractional positions:
Ac1 0.5000 0.5000 0.3015  9 Te 3.62-3.93
Ac2 0.5000 0.5000 0.6985  9 Te 3.62-3.93
Sr1 0.0000 0.0000 0.0000  2 Te 3.04
Te1 0.5000 0.5000 0.0000  2 Ac 3.62, 4 Sr 3.89
Te2 0.5000 0.0000 0.5000  2 Er 2.75
Te3 0.0000 0.0000 0.7467  1 Er 2.96, 1 Sr 3.04
Te4 0.0000 0.0000 0.2533  1 Er 2.96, 1 Sr 3.04
Te5 0.0000 0.5000 0.5000  2 Er 2.75
Er1 0.0000 0.0000 0.5000  6 Te 2.75-2.96

Formation energy (no corrections) = -10.74 eV/f.u.
Magnetic moment = 0.00 μB per cell

Entry 5:
DFT (PBE) results for a relaxed structure of SrAcErTl.

abc: 5.8733 5.8733 5.8733
angles: 60.00 60.00 60.00
Last column: nearest neighbours and their distance in Å.
Fractional positions:
Ac1 0.2500 0.2500 0.2500  4 Er 3.60, 4 Sr 3.60
Sr1 0.5000 0.5000 0.5000  4 Tl 3.60, 4 Ac 3.60
Tl1 0.7500 0.7500 0.7500  4 Er 3.60, 4 Sr 3.60
Er1 0.0000 0.0000 0.0000  4 Ac 3.60, 4 Tl 3.60

Total energy = -12.2 eV per formula unit
Magnetic moment = 0.73 μB per cell

Entry 6:
DFT (PBE) results for a relaxed structure of AcEr2Ta.

abc: 5.4380 5.4380 5.4386
angles: 60.00 60.00 60.00
Last column: nearest neighbours and their distance in Å.
Fractional positions:
Ac1 0.5000 0.5000 0.5000  8 Er 3.33
Er1 0.7499 0.7499 0.7502  4 Ac 3.33, 4 Ta 3.33
Er2 0.2501 0.2501 0.2498  4 Ac 3.33, 4 Ta 3.33
Ta1 0.0000 0.0000 0.0000  8 Er 3.33

Total energy = -23.0 eV per formula unit
Magnetic moment = 0.00 μB per cell

Entry 7:
DFT (PBE) results for a relaxed structure of Ac2Tb7Er2.

abc: 8.7287 6.2230 8.7287
angles: 63.92 96.99 116.08
Last column: nearest neighbours and their distance in Å.
Fractional positions:
Tb1 0.5949 0.3175 0.9387  2 Tb 3.23-3.26, 2 Er 3.44-3.58, 2 Ac 3.46-3.57
Tb2 0.9387 0.6825 0.5949  2 Tb 3.23-3.26, 2 Er 3.44-3.58, 2 Ac 3.46-3.57
Tb3 0.0613 0.3175 0.4051  2 Tb 3.23-3.26, 2 Er 3.44-3.58, 2 Ac 3.46-3.57
Tb4 0.0000 0.5000 0.0000  4 Tb 3.26, 2 Er 3.57
Tb5 0.5971 0.8735 0.4029  3 Er 3.43-3.65, 6 Tb 3.64-3.77, 2 Ac 3.81
Tb6 0.4051 0.6825 0.0613  2 Tb 3.23-3.26, 2 Er 3.44-3.58, 2 Ac 3.46-3.57
Tb7 0.4029 0.1265 0.5971  3 Er 3.43-3.65, 6 Tb 3.64-3.77, 2 Ac 3.81
Er1 0.2520 0.4286 0.7480  8 Tb 3.43-3.65, 2 Ac 3.70
Er2 0.7480 0.5714 0.2520  8 Tb 3.43-3.65, 2 Ac 3.70
Ac1 0.7880 0.0000 0.7880  8 Tb 3.46-3.81, 2 Er 3.70
Ac2 0.2120 0.0000 0.2120  8 Tb 3.46-3.81, 2 Er 3.70

Total energy = -47.7 eV per formula unit
Magnetic moment = 0.00 μB per cell

Entry 8:
DFT (PBE) results for a relaxed structure of AcTb6Er2.

abc: 3.6192 3.6192 26.4950
angles: 90.00 90.00 120.00
Last column: nearest neighbours and their distance in Å.
Fractional positions:
Tb1 0.3333 0.6667 0.1183  9 Tb 3.51-3.62, 3 Ac 3.77
Tb2 0.3333 0.6667 0.8817  9 Tb 3.51-3.62, 3 Ac 3.77
Tb3 0.0000 0.0000 0.4350  7 Tb 3.44-3.62, 3 Er 3.44
Tb4 0.0000 0.0000 0.5650  7 Tb 3.44-3.62, 3 Er 3.44
Tb5 0.0000 0.0000 0.7751  9 Tb 3.51-3.62, 3 Er 3.52
Tb6 0.0000 0.0000 0.2249  9 Tb 3.51-3.62, 3 Er 3.52
Ac1 0.0000 0.0000 0.0000  6 Ac 3.62, 6 Tb 3.77
Er1 0.3333 0.6667 0.3317  6 Tb 3.44-3.52, 6 Er 3.62
Er2 0.3333 0.6667 0.6683  6 Tb 3.44-3.52, 6 Er 3.62

Excess energy over the best structure of this formula in the dataset = 0 kJ/mol of formula units
Magnetic moment = 0.02 μB per cell

Entry 9:
DFT (PBE) results for a relaxed structure of Ac2TbEr.

abc: 3.7972 8.3098 6.3468
angles: 60.73 90.03 62.88
Last column: nearest neighbours and their distance in Å.
Fractional positions:
Ac1 0.2468 0.8360 0.8337  4 Tb 3.70, 2 Er 3.70, 6 Ac 3.80
Ac2 0.2467 0.3360 0.3336  4 Er 3.70, 2 Tb 3.70, 6 Ac 3.80
Tb1 0.7472 0.8358 0.3339  6 Ac 3.70, 2 Tb 3.80, 4 Er 3.80
Er1 0.7470 0.3358 0.8337  6 Ac 3.70, 2 Er 3.80, 4 Tb 3.80

Excess energy over the best structure of this formula in the dataset = 1 kJ/mol of formula units
Magnetic moment = 0.00 μB per cell

Entry 10:
DFT (PBE) results for a relaxed structure of AcTb4Er3.

abc: 3.4560 8.9223 8.9223
angles: 97.01 90.00 90.00
Last column: nearest neighbours and their distance in Å.
Fractional positions:
Er1 0.5000 0.5000 0.5000  6 Tb 3.19-3.29, 2 Er 3.46
Er2 0.0000 0.0000 0.5000  6 Tb 3.35-3.43, 2 Er 3.46
Er3 0.0000 0.5000 0.0000  6 Tb 3.35-3.43, 2 Er 3.46
Tb1 0.5000 0.7387 0.2613  5 Er 3.19-3.43, 2 Tb 3.46, 1 Ac 3.49
Tb2 0.0000 0.2634 0.2634  4 Er 3.29-3.35, 2 Tb 3.46, 2 Ac 3.56
Tb3 0.0000 0.7366 0.7366  4 Er 3.29-3.35, 2 Tb 3.46, 2 Ac 3.56
Tb4 0.5000 0.2613 0.7387  5 Er 3.19-3.43, 2 Tb 3.46, 1 Ac 3.49
Ac1 0.5000 0.0000 0.0000  2 Ac 3.46, 6 Tb 3.49-3.56

Excess energy over the best structure of this formula in the dataset = 216 kJ/mol of formula units
Magnetic moment = 2.08 μB per cell

Entry 11:
DFT (PBE) results for a relaxed structure of Ac4Tb2Er.

abc: 7.2498 7.2503 13.1434
angles: 97.17 96.47 124.73
Last column: nearest neighbours and their distance in Å.
Fractional positions:
Tb1 0.3846 0.1820 0.4340  7 Ac 3.58-3.98, 2 Er 3.61-3.87, 2 Tb 3.80-3.81
Tb2 0.7005 0.9976 0.0661  7 Ac 3.58-3.98, 2 Er 3.60-3.88, 2 Tb 3.80-3.82
Tb3 0.9957 0.7014 0.5661  7 Ac 3.59-3.98, 2 Er 3.61-3.87, 2 Tb 3.80-3.81
Tb4 0.1846 0.3841 0.9341  7 Ac 3.58-3.99, 2 Er 3.60-3.88, 2 Tb 3.80-3.82
Er1 0.7332 0.4808 0.0004  4 Tb 3.60-3.88, 8 Ac 3.78-3.90
Er2 0.4817 0.7337 0.5004  4 Tb 3.61-3.87, 8 Ac 3.79-3.87
Ac1 0.6765 0.7914 0.7904  6 Ac 3.65-4.02, 3 Tb 3.69-3.99, 2 Er 3.80-3.90
Ac2 0.1056 0.2551 0.6386  4 Tb 3.59-3.94, 5 Ac 3.65-4.02, 2 Er 3.83-3.87
Ac3 0.7887 0.6727 0.2905  6 Ac 3.64-4.01, 3 Tb 3.70-3.98, 2 Er 3.78-3.87
Ac4 0.8647 0.2179 0.3620  4 Tb 3.58-3.94, 4 Ac 3.64-3.85, 2 Er 3.84-3.87
Ac5 0.2499 0.1041 0.1387  4 Tb 3.58-3.95, 5 Ac 3.65-4.01, 2 Er 3.85-3.86
Ac6 0.2166 0.8600 0.8620  4 Tb 3.58-3.94, 4 Ac 3.65-3.84, 2 Er 3.85
Ac7 0.6294 0.2475 0.7098  6 Ac 3.65-4.02, 3 Tb 3.70-3.98, 2 Er 3.78-3.85
Ac8 0.2498 0.6330 0.2099  6 Ac 3.65-4.02, 3 Tb 3.69-3.98, 2 Er 3.79-3.88

Total energy = -29.4 eV per formula unit
Magnetic moment = 0.00 μB per cell

Entry 12:
DFT (PBE) results for a relaxed structure of AcTb2Er.

abc: 5.2065 5.1425 5.1425
angles: 90.00 90.00 90.00
Last column: nearest neighbours and their distance in Å.
Fractional positions:
Tb1 0.0000 0.5000 0.0000  4 Tb 3.64, 4 Ac 3.66, 4 Er 3.66
Tb2 0.0000 0.0000 0.5000  4 Tb 3.64, 4 Er 3.66, 4 Ac 3.66
Ac1 0.5000 0.0000 0.0000  4 Er 3.64, 8 Tb 3.66
Er1 0.5000 0.5000 0.5000  4 Ac 3.64, 8 Tb 3.66

Excess energy over the best structure of this formula in the dataset = 0 kJ/mol of formula units
Magnetic moment = 0.00 μB per cell